[1]
A relaxed structure of TbAlAg2, computed with GGA-PBE.

Cell: 4.4414 4.4414 4.2727 Å, 90.00 90.00 90.00°
Last column: nearest neighbours and their distance in Å.
Space group P4/mmm (No. 123)
Unique sites:
Tb 0.0000 0.0000 0.0000 x1  8 Ag 3.08, 4 Al 3.14
Al 0.5000 0.5000 0.0000 x1  8 Ag 3.08, 4 Tb 3.14
Ag 0.0000 0.5000 0.5000 x2  4 Tb 3.08, 4 Al 3.08, 4 Ag 3.14

Summary:
V (A^3/atom): 21.07
Formation enthalpy at 0 K (eV per atom): -0.16
N(E_F) (states/eV per atom): 0.5112



[2]
A relaxed structure of TbAlAg, computed with GGA-PBE.

Cell: 3.7036 5.1206 3.8939 Å, 90.00 90.00 90.00°
Last column: nearest neighbours and their distance in Å.
Space group Pmm2 (No. 25)
Unique sites:
Tb 0.0000 0.0000 0.0000 x1  4 Al 3.16, 4 Ag 3.21-3.23
Al 0.5000 0.5000 0.0054 x1  4 Ag 2.68-2.69
Ag 0.0000 0.5000 0.5038 x1  4 Al 2.68-2.69

Summary:
V (A^3/atom): 24.62
Formation enthalpy at 0 K (eV per atom): 0.01
N(E_F) (states/eV per atom): 0.9601



[3]
A relaxed structure of TbAl6Ag6, computed with GGA-PBE.

Cell: 5.3942 9.1064 9.4201 Å, 90.00 90.00 90.00°
Last column: nearest neighbours and their distance in Å.
Space group Immm (No. 71)
Unique sites:
Tb 0.0000 0.0000 0.0000 x2  8 Ag 3.09-3.26, 4 Al 3.41
Al 0.0000 0.2702 0.5000 x4  4 Al 2.72, 6 Ag 2.78-2.87
Al 0.2500 0.2500 0.2500 x8  4 Al 2.70-2.72, 6 Ag 2.70-2.83
Ag 0.0000 0.0000 0.3457 x4  6 Al 2.80-2.86, 3 Ag 2.91-3.05
Ag 0.0000 0.3390 0.0000 x4  6 Al 2.83-2.87, 1 Ag 2.93, 1 Tb 3.09
Ag 0.0000 0.5000 0.3060 x4  6 Al 2.70-2.78

Summary:
V (A^3/atom): 17.80
Formation enthalpy at 0 K (eV per atom): -0.18
N(E_F) (states/eV per atom): 0.2874



[4]
A relaxed structure of TbAl2Ag2, computed with GGA-PBE.

Cell: 4.2667 4.2667 11.1084 Å, 90.00 90.00 90.00°
Last column: nearest neighbours and their distance in Å.
Space group P4/nmm (No. 129, origin choice 2)
Unique sites:
Tb 0.2500 0.2500 0.2483 x2  8 Ag 3.26-3.52, 8 Al 3.27-3.49
Al 0.2500 0.2500 0.6372 x2  5 Ag 2.50-2.62
Al 0.2500 0.7500 0.0000 x2  4 Ag 2.62
Ag 0.2500 0.2500 0.8627 x2  5 Al 2.50-2.62
Ag 0.2500 0.7500 0.5000 x2  4 Al 2.62

Summary:
V (A^3/atom): 20.22
Formation enthalpy at 0 K (eV per atom): -0.32
N(E_F) (states/eV per atom): 0.4546



[5]
A relaxed structure of Tb2AlAg6, computed with GGA-PBE.

Cell: 6.0288 6.0288 5.9458 Å, 90.00 90.00 120.00°
Last column: nearest neighbours and their distance in Å.
Space group P-3m1 (No. 164)
Unique sites:
Tb 0.3333 0.6667 0.1462 x2  9 Ag 3.19-3.21
Al 0.0000 0.0000 0.0000 x1  6 Ag 2.65
Ag 0.1767 0.3534 0.6809 x6  1 Al 2.65, 4 Ag 2.83

Summary:
V (A^3/atom): 20.80
Formation enthalpy at 0 K (eV per atom): -0.22
N(E_F) (states/eV per atom): 0.4863



[6]
A relaxed structure of TbAlAg2, computed with GGA-PBE.

Cell: 6.8574 6.8574 6.8574 Å, 90.00 90.00 90.00°
Last column: nearest neighbours and their distance in Å.
Space group Fm-3m (No. 225)
Unique sites:
Tb 0.0000 0.0000 0.0000 x4  8 Ag 2.97
Al 0.0000 0.0000 0.5000 x4  8 Ag 2.97
Ag 0.2500 0.2500 0.2500 x8  4 Tb 2.97, 4 Al 2.97

Summary:
V (A^3/atom): 20.15
Formation enthalpy at 0 K (eV per atom): -0.32
N(E_F) (states/eV per atom): 0.6415